Entry 1:
A geometry-optimized Tl4Cd3In2 structure. Source: Alexandria via LeMat-Bulk, functional PBE.

Cell lengths 3.371, 6.669, 11.601 Å; angles 89.57, 83.37, 76.29 degrees
Space group P-1 (No. 2)
One atom of each set of equivalent atoms:
Tl1 0.234 0.147 0.382 x2
Tl2 0.244 0.613 0.878 x2
Cd1 0.009 0.165 0.810 x2
Cd2 0.500 0.000 0.000 x1
In1 0.499 0.618 0.384 x2

=====

Entry 2:
A geometry-optimized K2CaMo structure. Source: Alexandria via LeMat-Bulk, functional PBE.

Values from the calculation:
The value obtained for the distance to the lowest polymorph of the same formula is 267.5 meV/atom.

Cell lengths 4.849, 4.849, 27.325 Å; angles 90.00, 90.00, 90.00 degrees
Space group I-42d (No. 122)
One atom of each set of equivalent atoms:
K1 0.235 0.250 0.125 x8
Ca1 0.000 0.000 0.500 x4
Mo1 0.000 0.000 0.000 x4

=====

Entry 3:
A geometry-optimized BPd3 structure. Source: Alexandria via LeMat-Bulk, functional PBE.

Cell lengths 5.529, 7.689, 4.905 Å; angles 90.00, 90.00, 90.00 degrees
Space group Pnma (No. 62)
One atom of each set of equivalent atoms:
B1 0.112 0.250 0.065 x4
Pd1 0.040 0.750 0.343 x4
Pd2 0.179 0.572 0.825 x8

=====

Entry 4:
A geometry-optimized YNbPt6 structure. Source: Alexandria via LeMat-Bulk, functional PBE.

Cell lengths 4.063, 4.063, 8.150 Å; angles 90.00, 90.00, 90.00 degrees
Space group P4/mmm (No. 123)
One atom of each set of equivalent atoms:
Y1 0.000 0.000 0.000 x1
Nb1 0.000 0.000 0.500 x1
Pt1 0.000 0.500 0.265 x4
Pt2 0.500 0.500 0.000 x1
Pt3 0.500 0.500 0.500 x1

=====

Number 1: energy of formation 0.03 eV/atom. Number 2: energy of formation 1.21 eV/atom. Number 3: energy of formation -0.25 eV/atom. Number 4: energy of formation -0.83 eV/atom.